[1]
# MgTl

MgTl at its PBEsol-relaxed geometry (meta-GGA SCAN, Alexandria via LeMat-Bulk).

SG = No. 63
Size of the total moment = 0.0 μB/f.u.
Calculated formation energy = -102 meV/atom

Cell and atoms, written as POSCAR:
```
MgTl
1.0
1.7468 -5.5889 0.0000
1.7468 5.5889 0.0000
0.0000 0.0000 5.0179
Mg Tl
2 2
Direct
0.1011 0.8989 0.7500
0.8989 0.1011 0.2500
0.3685 0.6315 0.7500
0.6315 0.3685 0.2500
```

***

[2]
# CoMo2

CoMo2 at its PBEsol-relaxed geometry (meta-GGA SCAN, Alexandria via LeMat-Bulk).

SG = No. 191
Size of the total moment = 0.0 μB/f.u.
Calculated formation energy = 566 meV/atom

Cell and atoms, written as POSCAR:
```
CoMo2
1.0
4.3139 0.0000 0.0000
-2.1570 3.7360 0.0000
0.0000 0.0000 2.5774
Co Mo
1 2
Direct
0.0000 0.0000 0.0000
0.3333 0.6667 0.5000
0.6667 0.3333 0.5000
```